# Zn2Pt2Rh | Alexandria | GGA-PBE | relaxed
data_Zn2Pt2Rh
_cell_length_a 7.364
_cell_length_b 7.364
_cell_length_c 2.828
_cell_angle_alpha 90.00
_cell_angle_beta 90.00
_cell_angle_gamma 90.00
_symmetry_space_group_name_H-M 'P 4/m b m'
_symmetry_Int_Tables_number 127
_symmetry_space_group_name_Hall '-P 4 2ab'
loop_
_atom_site_label
_atom_site_type_symbol
_atom_site_fract_x
_atom_site_fract_y
_atom_site_fract_z
_atom_site_occupancy
Zn1 Zn 0.164 0.336 0.000 1
Pt1 Pt 0.136 0.636 0.500 1
Rh1 Rh 0.000 0.000 0.500 1
# * total magnetic moment: 0.124 μB per atom
# * density of states at the Fermi level: 0.685 states/eV per atom
# * calculated volume: 15.34 Å³ per atom
# * E_tot: -4.6062 eV/atom
# * E_form: -0.21 eV per atom